Version A
Density functional theory data (PBE-GGA) for an optimized crystal structure of Be2Os2Rh.

Geometry as CIF:
```
data_Be2Os2Rh
_cell_length_a 4.0297
_cell_length_b 4.0297
_cell_length_c 8.0465
_cell_angle_alpha 90.00
_cell_angle_beta 90.00
_cell_angle_gamma 90.00
_symmetry_space_group_name_H-M 'I 4/m m m'
_symmetry_Int_Tables_number 139
_symmetry_space_group_name_Hall '-I 4 2'
loop_
_atom_site_label
_atom_site_type_symbol
_atom_site_fract_x
_atom_site_fract_y
_atom_site_fract_z
_atom_site_occupancy
Be1 Be 0.0000 0.5000 0.2500 1
Os1 Os 0.0000 0.0000 0.1466 1
Rh1 Rh 0.0000 0.0000 0.5000 1
```



Version B
Density functional theory data (PBE-GGA) for an optimized crystal structure of Be2Os2Rh.

Geometry as CIF:
```
data_Be2Os2Rh
_cell_length_a 6.8150
_cell_length_b 6.8150
_cell_length_c 2.6865
_cell_angle_alpha 90.00
_cell_angle_beta 90.00
_cell_angle_gamma 90.00
_symmetry_space_group_name_H-M 'P 4/m b m'
_symmetry_Int_Tables_number 127
_symmetry_space_group_name_Hall '-P 4 2ab'
loop_
_atom_site_label
_atom_site_type_symbol
_atom_site_fract_x
_atom_site_fract_y
_atom_site_fract_z
_atom_site_occupancy
Be1 Be 0.1675 0.3325 0.0000 1
Os1 Os 0.1291 0.6291 0.5000 1
Rh1 Rh 0.0000 0.0000 0.5000 1
```



Version C
Density functional theory data (PBE-GGA) for an optimized crystal structure of Be2Os2Rh.

Geometry as CIF:
```
data_Be2Os2Rh
_cell_length_a 5.6046
_cell_length_b 5.6046
_cell_length_c 3.6704
_cell_angle_alpha 90.00
_cell_angle_beta 90.00
_cell_angle_gamma 90.00
_symmetry_space_group_name_H-M 'P 4/m b m'
_symmetry_Int_Tables_number 127
_symmetry_space_group_name_Hall '-P 4 2ab'
loop_
_atom_site_label
_atom_site_type_symbol
_atom_site_fract_x
_atom_site_fract_y
_atom_site_fract_z
_atom_site_occupancy
Be1 Be 0.1283 0.3717 0.0000 1
Os1 Os 0.1716 0.6716 0.5000 1
Rh1 Rh 0.0000 0.0000 0.0000 1
```



Stability ranking, top and bottom: version C is the most stable and version A is the least stable.



Version A
Density functional theory data (PBE-GGA) for an optimized crystal structure of Be2OsRh.

Geometry as CIF:
```
data_Be2OsRh
_cell_length_a 5.3618
_cell_length_b 7.2830
_cell_length_c 2.6155
_cell_angle_alpha 90.00
_cell_angle_beta 114.37
_cell_angle_gamma 90.00
_symmetry_space_group_name_H-M 'C 1 2/m 1'
_symmetry_Int_Tables_number 12
loop_
_symmetry_equiv_pos_as_xyz
'x,y,z'
'-x,-y,-z'
'-x,y,-z'
'x,-y,z'
'x+1/2,y+1/2,z'
'-x+1/2,-y+1/2,-z'
'-x+1/2,y+1/2,-z'
'x+1/2,-y+1/2,z'
loop_
_atom_site_label
_atom_site_type_symbol
_atom_site_fract_x
_atom_site_fract_y
_atom_site_fract_z
_atom_site_occupancy
Be1 Be 0.2500 0.2500 0.0000 1
Os1 Os 0.0000 0.0000 0.5000 1
Rh1 Rh 0.0000 0.5000 0.5000 1
```



Version B
Density functional theory data (PBE-GGA) for an optimized crystal structure of Be2OsRh.

Geometry as CIF:
```
data_Be2OsRh
_cell_length_a 2.7276
_cell_length_b 2.7276
_cell_length_c 21.5975
_cell_angle_alpha 90.00
_cell_angle_beta 90.00
_cell_angle_gamma 120.00
_symmetry_space_group_name_H-M 'R -3 m'
_symmetry_Int_Tables_number 166
_symmetry_space_group_name_Hall '-R 3 2"'
loop_
_atom_site_label
_atom_site_type_symbol
_atom_site_fract_x
_atom_site_fract_y
_atom_site_fract_z
_atom_site_occupancy
Be1 Be 0.0000 0.0000 0.2481 1
Os1 Os 0.0000 0.0000 0.0000 1
Rh1 Rh 0.0000 0.0000 0.5000 1
```



Stability ranking, top and bottom: version B is the most stable and version A is the least stable.



Version A
Density functional theory data (PBE-GGA) for an optimized crystal structure of Be2OsRh.

Geometry as CIF:
```
data_Be2OsRh
_cell_length_a 5.5924
_cell_length_b 5.5924
_cell_length_c 5.5924
_cell_angle_alpha 90.00
_cell_angle_beta 90.00
_cell_angle_gamma 90.00
_symmetry_space_group_name_H-M 'F m -3 m'
_symmetry_Int_Tables_number 225
_symmetry_space_group_name_Hall '-F 4 2 3'
loop_
_atom_site_label
_atom_site_type_symbol
_atom_site_fract_x
_atom_site_fract_y
_atom_site_fract_z
_atom_site_occupancy
Be1 Be 0.2500 0.2500 0.2500 1
Os1 Os 0.0000 0.0000 0.0000 1
Rh1 Rh 0.0000 0.0000 0.5000 1
```



Version B
Density functional theory data (PBE-GGA) for an optimized crystal structure of Be2OsRh.

Geometry as CIF:
```
data_Be2OsRh
_cell_length_a 5.7656
_cell_length_b 5.7656
_cell_length_c 5.7656
_cell_angle_alpha 90.00
_cell_angle_beta 90.00
_cell_angle_gamma 90.00
_symmetry_space_group_name_H-M 'F -4 3 m'
_symmetry_Int_Tables_number 216
_symmetry_space_group_name_Hall 'F -4 2 3'
loop_
_atom_site_label
_atom_site_type_symbol
_atom_site_fract_x
_atom_site_fract_y
_atom_site_fract_z
_atom_site_occupancy
Be1 Be 0.0000 0.0000 0.0000 1
Be2 Be 0.2500 0.2500 0.2500 1
Os1 Os 0.0000 0.0000 0.5000 1
Rh1 Rh 0.2500 0.2500 0.7500 1
```



Version C
Density functional theory data (PBE-GGA) for an optimized crystal structure of Be2OsRh.

Geometry as CIF:
```
data_Be2OsRh
_cell_length_a 2.8031
_cell_length_b 3.6983
_cell_length_c 4.5184
_cell_angle_alpha 90.00
_cell_angle_beta 90.00
_cell_angle_gamma 90.00
_symmetry_space_group_name_H-M 'P m m m'
_symmetry_Int_Tables_number 47
loop_
_symmetry_equiv_pos_as_xyz
'x,y,z'
'-x,-y,-z'
'-x,-y,z'
'x,y,-z'
'x,-y,-z'
'-x,y,z'
'-x,y,-z'
'x,-y,z'
loop_
_atom_site_label
_atom_site_type_symbol
_atom_site_fract_x
_atom_site_fract_y
_atom_site_fract_z
_atom_site_occupancy
Be1 Be 0.0000 0.0000 0.0000 1
Be2 Be 0.5000 0.0000 0.5000 1
Os1 Os 0.0000 0.5000 0.5000 1
Rh1 Rh 0.5000 0.5000 0.0000 1
```



Stability ranking, top and bottom: version A is the most stable and version B is the least stable.



Version A
Density functional theory data (PBE-GGA) for an optimized crystal structure of Be2OsRh.

Geometry as CIF:
```
data_Be2OsRh
_cell_length_a 8.6160
_cell_length_b 2.6583
_cell_length_c 4.1265
_cell_angle_alpha 90.00
_cell_angle_beta 107.39
_cell_angle_gamma 90.00
_symmetry_space_group_name_H-M 'C 1 m 1'
_symmetry_Int_Tables_number 8
loop_
_symmetry_equiv_pos_as_xyz
'x,y,z'
'x,-y,z'
'x+1/2,y+1/2,z'
'x+1/2,-y+1/2,z'
loop_
_atom_site_label
_atom_site_type_symbol
_atom_site_fract_x
_atom_site_fract_y
_atom_site_fract_z
_atom_site_occupancy
Be1 Be 0.0000 0.0000 0.0000 1
Be2 Be 0.2342 0.5000 0.3394 1
Os1 Os 0.2469 0.0000 0.8598 1
Rh1 Rh 0.4863 0.0000 0.4769 1
```



Version B
Density functional theory data (PBE-GGA) for an optimized crystal structure of Be2OsRh.

Geometry as CIF:
```
data_Be2OsRh
_cell_length_a 2.7823
_cell_length_b 4.4749
_cell_length_c 7.8103
_cell_angle_alpha 90.00
_cell_angle_beta 90.00
_cell_angle_gamma 90.00
_symmetry_space_group_name_H-M 'C m m 2'
_symmetry_Int_Tables_number 35
loop_
_symmetry_equiv_pos_as_xyz
'x,y,z'
'-x,-y,z'
'-x,y,z'
'x,-y,z'
'x+1/2,y+1/2,z'
'-x+1/2,-y+1/2,z'
'-x+1/2,y+1/2,z'
'x+1/2,-y+1/2,z'
loop_
_atom_site_label
_atom_site_type_symbol
_atom_site_fract_x
_atom_site_fract_y
_atom_site_fract_z
_atom_site_occupancy
Be1 Be 0.0000 0.0000 0.0000 1
Be2 Be 0.0000 0.5000 0.2338 1
Os1 Os 0.0000 0.0000 0.4704 1
Rh1 Rh 0.0000 0.5000 0.7737 1
```



Version C
Density functional theory data (PBE-GGA) for an optimized crystal structure of Be2OsRh.

Geometry as CIF:
```
data_Be2OsRh
_cell_length_a 2.6714
_cell_length_b 2.6714
_cell_length_c 23.8200
_cell_angle_alpha 90.00
_cell_angle_beta 90.00
_cell_angle_gamma 120.00
_symmetry_space_group_name_H-M 'R 3 m'
_symmetry_Int_Tables_number 160
_symmetry_space_group_name_Hall 'R 3 -2"'
loop_
_atom_site_label
_atom_site_type_symbol
_atom_site_fract_x
_atom_site_fract_y
_atom_site_fract_z
_atom_site_occupancy
Be1 Be 0.0000 0.0000 0.0000 1
Be2 Be 0.0000 0.0000 0.2486 1
Os1 Os 0.0000 0.0000 0.5027 1
Rh1 Rh 0.0000 0.0000 0.7419 1
```



Stability ranking, top and bottom: version A is the most stable and version B is the least stable.



Version A
Density functional theory data (PBE-GGA) for an optimized crystal structure of Be2OsRh.

Geometry as CIF:
```
data_Be2OsRh
_cell_length_a 2.7752
_cell_length_b 2.7752
_cell_length_c 5.7081
_cell_angle_alpha 90.00
_cell_angle_beta 90.00
_cell_angle_gamma 90.00
_symmetry_space_group_name_H-M 'P 4 m m'
_symmetry_Int_Tables_number 99
loop_
_symmetry_equiv_pos_as_xyz
'x,y,z'
'-y,x,z'
'-x,-y,z'
'y,-x,z'
'-x,y,z'
'y,x,z'
'x,-y,z'
'-y,-x,z'
loop_
_atom_site_label
_atom_site_type_symbol
_atom_site_fract_x
_atom_site_fract_y
_atom_site_fract_z
_atom_site_occupancy
Be1 Be 0.0000 0.0000 0.0000 1
Be2 Be 0.5000 0.5000 0.1903 1
Os1 Os 0.0000 0.0000 0.4313 1
Rh1 Rh 0.5000 0.5000 0.7635 1
```



Version B
Density functional theory data (PBE-GGA) for an optimized crystal structure of Be2OsRh.

Geometry as CIF:
```
data_Be2OsRh
_cell_length_a 4.0069
_cell_length_b 4.0069
_cell_length_c 2.7242
_cell_angle_alpha 90.00
_cell_angle_beta 90.00
_cell_angle_gamma 90.00
_symmetry_space_group_name_H-M 'P 4/m m m'
_symmetry_Int_Tables_number 123
_symmetry_space_group_name_Hall '-P 4 2'
loop_
_atom_site_label
_atom_site_type_symbol
_atom_site_fract_x
_atom_site_fract_y
_atom_site_fract_z
_atom_site_occupancy
Be1 Be 0.0000 0.5000 0.0000 1
Os1 Os 0.0000 0.0000 0.5000 1
Rh1 Rh 0.5000 0.5000 0.5000 1
```



Stability ranking, top and bottom: version B is the most stable and version A is the least stable.



Version A
Density functional theory data (PBE-GGA) for an optimized crystal structure of Be2OsRh.

Geometry as CIF:
```
data_Be2OsRh
_cell_length_a 3.2536
_cell_length_b 3.2536
_cell_length_c 8.5782
_cell_angle_alpha 90.00
_cell_angle_beta 90.00
_cell_angle_gamma 90.00
_symmetry_space_group_name_H-M 'I -4 m 2'
_symmetry_Int_Tables_number 119
_symmetry_space_group_name_Hall 'I -4 -2'
loop_
_atom_site_label
_atom_site_type_symbol
_atom_site_fract_x
_atom_site_fract_y
_atom_site_fract_z
_atom_site_occupancy
Be1 Be 0.0000 0.0000 0.0000 1
Be2 Be 0.0000 0.5000 0.2500 1
Os1 Os 0.0000 0.5000 0.7500 1
Rh1 Rh 0.0000 0.0000 0.5000 1
```



Version B
Density functional theory data (PBE-GGA) for an optimized crystal structure of Be2OsRh.

Geometry as CIF:
```
data_Be2OsRh
_cell_length_a 5.9505
_cell_length_b 5.9505
_cell_length_c 5.3319
_cell_angle_alpha 90.00
_cell_angle_beta 90.00
_cell_angle_gamma 90.00
_symmetry_space_group_name_H-M 'I -4 2 d'
_symmetry_Int_Tables_number 122
_symmetry_space_group_name_Hall 'I -4 2bw'
loop_
_atom_site_label
_atom_site_type_symbol
_atom_site_fract_x
_atom_site_fract_y
_atom_site_fract_z
_atom_site_occupancy
Be1 Be 0.2431 0.7500 0.1250 1
Os1 Os 0.0000 0.0000 0.5000 1
Rh1 Rh 0.0000 0.0000 0.0000 1
```



Version C
Density functional theory data (PBE-GGA) for an optimized crystal structure of Be2OsRh.

Geometry as CIF:
```
data_Be2OsRh
_cell_length_a 2.7522
_cell_length_b 3.7534
_cell_length_c 4.4427
_cell_angle_alpha 90.00
_cell_angle_beta 107.87
_cell_angle_gamma 90.00
_symmetry_space_group_name_H-M 'P 1 m 1'
_symmetry_Int_Tables_number 6
loop_
_symmetry_equiv_pos_as_xyz
'x,y,z'
'x,-y,z'
loop_
_atom_site_label
_atom_site_type_symbol
_atom_site_fract_x
_atom_site_fract_y
_atom_site_fract_z
_atom_site_occupancy
Be1 Be 0.0000 0.0000 0.0000 1
Be2 Be 0.1565 0.5000 0.3164 1
Os1 Os 0.7224 0.0000 0.4506 1
Rh1 Rh 0.4341 0.5000 0.8676 1
```



Version D
Density functional theory data (PBE-GGA) for an optimized crystal structure of Be2OsRh.

Geometry as CIF:
```
data_Be2OsRh
_cell_length_a 2.6405
_cell_length_b 3.5537
_cell_length_c 4.9442
_cell_angle_alpha 90.00
_cell_angle_beta 90.07
_cell_angle_gamma 90.00
_symmetry_space_group_name_H-M 'P 1 2/m 1'
_symmetry_Int_Tables_number 10
loop_
_symmetry_equiv_pos_as_xyz
'x,y,z'
'-x,-y,-z'
'-x,y,-z'
'x,-y,z'
loop_
_atom_site_label
_atom_site_type_symbol
_atom_site_fract_x
_atom_site_fract_y
_atom_site_fract_z
_atom_site_occupancy
Be1 Be 0.0023 0.0000 0.2192 1
Os1 Os 0.5000 0.5000 0.0000 1
Rh1 Rh 0.0000 0.5000 0.5000 1
```



Stability ranking, top and bottom: version C is the most stable and version B is the least stable.